No. 1
# Ce2NbOs

A geometry-optimized Ce2NbOs structure (PBE-GGA, the Alexandria database).

## Properties
electronic total energy = -7.871 eV per atom
calculated density = 11.42 g/cm3
SG = R-3m (166)
total moment = 0.0 μB/cell
crystal system = trigonal
calculated volume = 81.91 Å³/f.u.
density of states at the Fermi level = 1.9432 states/eV/atom

a b c (Å): 2.9786 2.9786 10.7978
angles (deg): 82.07 82.07 60.00
Closest atoms and distances in Å follow each position.
Element x y z (fractional)
Os 0.5000 0.5000 0.5000  6 Ce 2.96, 6 Os 2.98
Nb 0.0000 0.0000 0.0000  2 Ce 2.92, 6 Nb 2.98
Ce 0.0914 0.0914 0.7259  1 Nb 2.92, 3 Os 2.96, 6 Ce 2.98
Ce 0.9086 0.9086 0.2741  1 Nb 2.92, 3 Os 2.96, 6 Ce 2.98

---

No. 2
# Ce2NbOs3

A geometry-optimized Ce2NbOs3 structure (PBE-GGA, the Alexandria database).

## Properties
electronic total energy = -9.504 eV per atom
calculated density = 13.50 g/cm3
SG = R-3m (166)
total moment = 0.0 μB/cell
crystal system = trigonal
calculated volume = 116.11 Å³/f.u.
density of states at the Fermi level = 1.6421 states/eV/atom

a b c (Å): 5.7292 5.7292 5.2551
angles (deg): 90.02 122.98 120.02
Closest atoms and distances in Å follow each position.
Element x y z (fractional)
Os 0.5000 0.5000 0.5000  2 Nb 2.63, 4 Os 2.86
Os 0.0000 0.0000 0.5000  2 Nb 2.63, 4 Os 2.86
Os 0.5000 0.0000 0.5000  2 Nb 2.63, 4 Os 2.86
Ce 0.7535 0.3768 0.1303  1 Ce 3.02, 9 Os 3.06-3.24, 3 Nb 3.35
Ce 0.2465 0.6232 0.8697  1 Ce 3.02, 9 Os 3.06-3.24, 3 Nb 3.35
Nb 0.0000 0.0000 0.0000  6 Os 2.63

---

No. 3
# CeNb2Os

A geometry-optimized CeNb2Os structure (PBE-GGA, the Alexandria database).

## Properties
electronic total energy = -9.032 eV per atom
calculated density = 11.36 g/cm3
SG = R-3m (166)
total moment = 0.0 μB/cell
crystal system = trigonal
calculated volume = 75.45 Å³/f.u.
density of states at the Fermi level = 1.4035 states/eV/atom

a b c (Å): 2.9269 2.9269 10.3098
angles (deg): 81.84 81.84 60.00
Closest atoms and distances in Å follow each position.
Element x y z (fractional)
Os 0.5000 0.5000 0.5000  6 Nb 2.77, 6 Os 2.93
Nb 0.9053 0.9053 0.2840  3 Os 2.77, 1 Ce 2.89, 6 Nb 2.93
Nb 0.0947 0.0947 0.7160  3 Os 2.77, 1 Ce 2.89, 6 Nb 2.93
Ce 0.0000 0.0000 0.0000  2 Nb 2.89, 6 Ce 2.93

---

No. 4
# CeNbOs2

A geometry-optimized CeNbOs2 structure (PBE-GGA, the Alexandria database).

## Properties
electronic total energy = -9.780 eV per atom
calculated density = 13.85 g/cm3
SG = P4/mmm (123)
total moment = 0.0 μB/cell
crystal system = tetragonal
calculated volume = 73.54 Å³/f.u.
density of states at the Fermi level = 1.3106 states/eV/atom

a b c (Å): 3.1545 3.1545 7.3908
angles (deg): 90.00 90.00 90.00
Closest atoms and distances in Å follow each position.
Element x y z (fractional)
Os 0.0000 0.0000 0.7892  4 Nb 2.72
Os 0.0000 0.0000 0.2108  4 Nb 2.72
Ce 0.5000 0.5000 0.5000  8 Os 3.09, 4 Ce 3.15
Nb 0.5000 0.5000 0.0000  8 Os 2.72